Record 1
Below is a crystal of NiIrBr2 relaxed with PBEsol, with properties calculated at the SCAN level.

Its uncorrected formation energy is 0.91 eV per atom. As for the calculated volume: 17.167 Å³ per atom.

It has space group Cmmm (No. 65), with a = 3.007 Å, b = 5.692 Å, c = 8.025 Å, α = 90.00°, β = 90.00° and γ = 90.00°. Symmetry generates all atoms from Ni at (0.000, 0.000, 0.000), Ir at (0.000, 0.000, 0.500) and Br at (0.000, 0.500, 0.233).


Record 2
Below is a crystal of NiIrSe2Br relaxed with PBEsol, with properties calculated at the SCAN level.

Its uncorrected formation energy is 0.87 eV per atom. As for the calculated volume: 23.263 Å³ per atom.

It has space group P4/mmm (No. 123), with a = 4.764 Å, b = 4.764 Å, c = 5.125 Å, α = 90.00°, β = 90.00° and γ = 90.00°. Symmetry generates all atoms from Ni at (0.000, 0.000, 0.000), Ir at (0.500, 0.500, 0.500), Se at (0.000, 0.500, 0.500) and Br at (0.500, 0.500, 0.000).


Record 3
Below is a crystal of NiIrSe2Br relaxed with PBEsol, with properties calculated at the SCAN level.

Its uncorrected formation energy is 1.14 eV per atom. As for the calculated volume: 18.815 Å³ per atom.

It has space group P4/mmm (No. 123), with a = 4.556 Å, b = 4.556 Å, c = 4.532 Å, α = 90.00°, β = 90.00° and γ = 90.00°. Symmetry generates all atoms from Ni at (0.000, 0.000, 0.000), Ir at (0.500, 0.500, 0.500), Se at (0.000, 0.500, 0.000) and Br at (0.000, 0.000, 0.500).


Record 4
Below is a crystal of IrBrO3 relaxed with PBEsol, with properties calculated at the SCAN level.

Its uncorrected formation energy is 1.46 eV per atom. As for the calculated volume: 12.413 Å³ per atom.

It has space group Pm-3m (No. 221), with a = 3.959 Å, b = 3.959 Å, c = 3.959 Å, α = 90.00°, β = 90.00° and γ = 90.00°. Symmetry generates all atoms from Ir at (0.000, 0.000, 0.000), Br at (0.500, 0.500, 0.500) and O at (0.000, 0.500, 0.500).


Record 5
Below is a crystal of IrRhBrO2 relaxed with PBEsol, with properties calculated at the SCAN level.

Its uncorrected formation energy is 0.21 eV per atom. As for the calculated volume: 14.561 Å³ per atom.

It has space group P4/mmm (No. 123), with a = 3.663 Å, b = 3.663 Å, c = 5.426 Å, α = 90.00°, β = 90.00° and γ = 90.00°. Symmetry generates all atoms from Ir at (0.000, 0.000, 0.000), Rh at (0.000, 0.000, 0.500), Br at (0.500, 0.500, 0.000) and O at (0.000, 0.500, 0.500).


Record 6
Below is a crystal of IrOs2Br relaxed with PBEsol, with properties calculated at the SCAN level.

Its uncorrected formation energy is 1.14 eV per atom. As for the calculated volume: 16.000 Å³ per atom.

It has space group Imm2 (No. 44), with a = 2.739 Å, b = 4.404 Å, c = 10.612 Å, α = 90.00°, β = 90.00° and γ = 90.00°. Symmetry generates all atoms from Ir at (0.000, 0.000, 0.000), Os at (0.000, 0.000, 0.435), Os at (0.000, 0.500, 0.731) and Br at (0.000, 0.500, 0.203).


Record 7
Below is a crystal of IrOs2Br relaxed with PBEsol, with properties calculated at the SCAN level.

Its uncorrected formation energy is 0.97 eV per atom. As for the calculated volume: 14.913 Å³ per atom.

It has space group R-3m (No. 166, hexagonal axes), with a = 2.8177 Å, b = 2.8177 Å, c = 26.0268 Å, α = 90.00°, β = 90.00° and γ = 120.00°. Symmetry generates all atoms from Ir at (0.0000, 0.0000, 0.0000), Os at (0.0000, 0.0000, 0.2516) and Br at (0.0000, 0.0000, 0.5000).


Record 8
Below is a crystal of IrOs2Br relaxed with PBEsol, with properties calculated at the SCAN level.

Its uncorrected formation energy is 0.83 eV per atom. As for the calculated volume: 16.384 Å³ per atom.

It has space group Pmmm (No. 47), with a = 2.759 Å, b = 3.721 Å, c = 6.384 Å, α = 90.00°, β = 90.00° and γ = 90.00°. Symmetry generates all atoms from Ir at (0.000, 0.000, 0.000), Os at (0.500, 0.500, 0.199) and Br at (0.500, 0.000, 0.500).


Record 9
Below is a crystal of IrOs2Br relaxed with PBEsol, with properties calculated at the SCAN level.

Its uncorrected formation energy is 1.14 eV per atom. As for the calculated volume: 15.024 Å³ per atom.

It has space group P4/mmm (No. 123), with a = 2.797 Å, b = 2.797 Å, c = 7.682 Å, α = 90.00°, β = 90.00° and γ = 90.00°. Symmetry generates all atoms from Ir at (0.000, 0.000, 0.000), Os at (0.500, 0.500, 0.238) and Br at (0.000, 0.000, 0.500).


Record 10
Below is a crystal of PIrBr4 relaxed with PBEsol, with properties calculated at the SCAN level.

Its uncorrected formation energy is 1.92 eV per atom. As for the calculated volume: 22.533 Å³ per atom.

It has space group F-43m (No. 216), with a = 8.147 Å, b = 8.147 Å, c = 8.147 Å, α = 90.00°, β = 90.00° and γ = 90.00°. Symmetry generates all atoms from P at (0.000, 0.000, 0.000), Ir at (0.250, 0.250, 0.750) and Br at (0.124, 0.124, 0.376).


Record 11
Below is a crystal of PIr2Br relaxed with PBEsol, with properties calculated at the SCAN level.

Its uncorrected formation energy is 0.57 eV per atom. As for the calculated volume: 16.145 Å³ per atom.

It has space group Cmmm (No. 65), with a = 2.920 Å, b = 5.344 Å, c = 8.279 Å, α = 90.00°, β = 90.00° and γ = 90.00°. Symmetry generates all atoms from P at (0.000, 0.000, 0.000), Ir at (0.000, 0.500, 0.209) and Br at (0.000, 0.000, 0.500).


Record 12
Below is a crystal of PIrBr relaxed with PBEsol, with properties calculated at the SCAN level.

Its uncorrected formation energy is 0.11 eV per atom. As for the calculated volume: 19.155 Å³ per atom.

It has space group Imm2 (No. 44), with a = 2.925 Å, b = 3.452 Å, c = 11.380 Å, α = 90.00°, β = 90.00° and γ = 90.00°. Symmetry generates all atoms from P at (0.000, 0.000, 0.000), Ir at (0.000, 0.000, 0.441) and Br at (0.000, 0.000, 0.212).


Record 13
Below is a crystal of PIrBr relaxed with PBEsol, with properties calculated at the SCAN level.

Its uncorrected formation energy is 1.30 eV per atom. As for the calculated volume: 18.232 Å³ per atom.

It has space group F-43m (No. 216), with a = 6.026 Å, b = 6.026 Å, c = 6.026 Å, α = 90.00°, β = 90.00° and γ = 90.00°. Symmetry generates all atoms from P at (0.000, 0.000, 0.000), Ir at (0.250, 0.250, 0.250) and Br at (0.250, 0.250, 0.750).


Record 14
Below is a crystal of PIr2Br relaxed with PBEsol, with properties calculated at the SCAN level.

Its uncorrected formation energy is 1.03 eV per atom. As for the calculated volume: 15.332 Å³ per atom.

It has space group Pmmm (No. 47), with a = 2.830 Å, b = 4.288 Å, c = 5.053 Å, α = 90.00°, β = 90.00° and γ = 90.00°. Symmetry generates all atoms from P at (0.000, 0.000, 0.000), Ir at (0.000, 0.500, 0.500), Ir at (0.500, 0.500, 0.000) and Br at (0.500, 0.000, 0.500).


Record 15
Below is a crystal of PIr2Br relaxed with PBEsol, with properties calculated at the SCAN level.

Its uncorrected formation energy is 1.07 eV per atom. As for the calculated volume: 14.863 Å³ per atom.

It has space group Fm-3m (No. 225), with a = 6.195 Å, b = 6.195 Å, c = 6.195 Å, α = 90.00°, β = 90.00° and γ = 90.00°. Symmetry generates all atoms from P at (0.000, 0.000, 0.000), Ir at (0.250, 0.250, 0.250) and Br at (0.000, 0.000, 0.500).


Record 16
Below is a crystal of PIr2Br relaxed with PBEsol, with properties calculated at the SCAN level.

Its uncorrected formation energy is 0.45 eV per atom. As for the calculated volume: 17.956 Å³ per atom.

It has space group Pmm2 (No. 25), with a = 2.890 Å, b = 3.559 Å, c = 6.984 Å, α = 90.00°, β = 90.00° and γ = 90.00°. Symmetry generates all atoms from P at (0.000, 0.000, 0.000), Ir at (0.000, 0.000, 0.668), Ir at (0.500, 0.500, 0.896) and Br at (0.500, 0.500, 0.431).


Record 17
Below is a crystal of IrPbBr2 relaxed with PBEsol, with properties calculated at the SCAN level.

Its uncorrected formation energy is 0.41 eV per atom. As for the calculated volume: 23.434 Å³ per atom.

It has space group P4mm (No. 99), with a = 3.473 Å, b = 3.473 Å, c = 7.770 Å, α = 90.00°, β = 90.00° and γ = 90.00°. Symmetry generates all atoms from Ir at (0.000, 0.000, 0.000), Pb at (0.500, 0.500, 0.285), Br at (0.000, 0.000, 0.536) and Br at (0.500, 0.500, 0.898).


Record 18
Below is a crystal of IrPbSe2Br relaxed with PBEsol, with properties calculated at the SCAN level.

Its uncorrected formation energy is 1.38 eV per atom. As for the calculated volume: 30.198 Å³ per atom.

It has space group P4/mmm (No. 123), with a = 5.303 Å, b = 5.303 Å, c = 5.368 Å, α = 90.00°, β = 90.00° and γ = 90.00°. Symmetry generates all atoms from Ir at (0.000, 0.000, 0.000), Pb at (0.500, 0.500, 0.500), Se at (0.000, 0.500, 0.500) and Br at (0.500, 0.500, 0.000).


Record 19
Below is a crystal of RbIr2PdBr relaxed with PBEsol, with properties calculated at the SCAN level.

Its uncorrected formation energy is 2.84 eV per atom. As for the calculated volume: 26.133 Å³ per atom.

It has space group P4/mmm (No. 123), with a = 4.818 Å, b = 4.818 Å, c = 5.629 Å, α = 90.00°, β = 90.00° and γ = 90.00°. Symmetry generates all atoms from Rb at (0.000, 0.000, 0.000), Ir at (0.000, 0.500, 0.000), Pd at (0.500, 0.500, 0.500) and Br at (0.000, 0.000, 0.500).


Record 20
Below is a crystal of IrPtBr2 relaxed with PBEsol, with properties calculated at the SCAN level.

Its uncorrected formation energy is 0.99 eV per atom. As for the calculated volume: 17.801 Å³ per atom.

It has space group Cmmm (No. 65), with a = 2.942 Å, b = 5.541 Å, c = 8.734 Å, α = 90.00°, β = 90.00° and γ = 90.00°. Symmetry generates all atoms from Ir at (0.000, 0.000, 0.000), Pt at (0.000, 0.000, 0.500) and Br at (0.000, 0.500, 0.241).


Record 21
Below is a crystal of IrPtBr2 relaxed with PBEsol, with properties calculated at the SCAN level.

Its uncorrected formation energy is 1.19 eV per atom. As for the calculated volume: 18.389 Å³ per atom.

It has space group I-4m2 (No. 119), with a = 3.659 Å, b = 3.659 Å, c = 10.986 Å, α = 90.00°, β = 90.00° and γ = 90.00°. Symmetry generates all atoms from Ir at (0.000, 0.000, 0.000), Pt at (0.000, 0.500, 0.250), Br at (0.000, 0.000, 0.500) and Br at (0.000, 0.500, 0.750).


Record 22
Below is a crystal of IrPtBr2 relaxed with PBEsol, with properties calculated at the SCAN level.

Its uncorrected formation energy is 0.63 eV per atom. As for the calculated volume: 19.494 Å³ per atom.

It has space group P4mm (No. 99), with a = 3.126 Å, b = 3.126 Å, c = 7.979 Å, α = 90.00°, β = 90.00° and γ = 90.00°. Symmetry generates all atoms from Ir at (0.000, 0.000, 0.000), Pt at (0.500, 0.500, 0.189), Br at (0.000, 0.000, 0.413) and Br at (0.500, 0.500, 0.793).


Record 23
Below is a crystal of IrPtBr2 relaxed with PBEsol, with properties calculated at the SCAN level.

Its uncorrected formation energy is 1.01 eV per atom. As for the calculated volume: 17.715 Å³ per atom.

It has space group P2/m (No. 10), with a = 3.142 Å, b = 4.362 Å, c = 5.180 Å, α = 90.00°, β = 93.68° and γ = 90.00°. Symmetry generates all atoms from Ir at (0.000, 0.000, 0.000), Pt at (0.500, 0.000, 0.500) and Br at (0.234, 0.500, 0.246).


Record 24
Below is a crystal of TeIr2PtBr relaxed with PBEsol, with properties calculated at the SCAN level.

Its uncorrected formation energy is 2.18 eV per atom. As for the calculated volume: 21.527 Å³ per atom.

It has space group P4/mmm (No. 123), with a = 4.486 Å, b = 4.486 Å, c = 5.348 Å, α = 90.00°, β = 90.00° and γ = 90.00°. Symmetry generates all atoms from Te at (0.000, 0.000, 0.000), Ir at (0.000, 0.500, 0.500), Pt at (0.500, 0.500, 0.000) and Br at (0.000, 0.000, 0.500).


Record 25
Below is a crystal of RbIr2Br relaxed with PBEsol, with properties calculated at the SCAN level.

Its uncorrected formation energy is 0.75 eV per atom. As for the calculated volume: 26.796 Å³ per atom.

It has space group I4_1/amd (No. 141, origin choice 2), with a = 5.147 Å, b = 5.147 Å, c = 16.181 Å, α = 90.00°, β = 90.00° and γ = 90.00°. Symmetry generates all atoms from Rb at (0.000, 0.250, 0.375), Ir at (0.000, 0.000, 0.000) and Br at (0.000, 0.250, 0.875).


Record 26
Below is a crystal of ReIr2Br relaxed with PBEsol, with properties calculated at the SCAN level.

Its uncorrected formation energy is 0.50 eV per atom. As for the calculated volume: 17.139 Å³ per atom.

It has space group Pmmm (No. 47), with a = 2.771 Å, b = 3.554 Å, c = 6.962 Å, α = 90.00°, β = 90.00° and γ = 90.00°. Symmetry generates all atoms from Re at (0.000, 0.000, 0.000), Ir at (0.500, 0.500, 0.192) and Br at (0.500, 0.000, 0.500).


Record 27
Below is a crystal of ReIr2Br relaxed with PBEsol, with properties calculated at the SCAN level.

Its uncorrected formation energy is 0.48 eV per atom. As for the calculated volume: 16.323 Å³ per atom.

It has space group R-3m (No. 166, hexagonal axes), with a = 2.7582 Å, b = 2.7582 Å, c = 29.7302 Å, α = 90.00°, β = 90.00° and γ = 120.00°. Symmetry generates all atoms from Re at (0.0000, 0.0000, 0.0000), Ir at (0.0000, 0.0000, 0.2620) and Br at (0.0000, 0.0000, 0.5000).


Record 28
Below is a crystal of ReIr2Br relaxed with PBEsol, with properties calculated at the SCAN level.

Its uncorrected formation energy is 1.23 eV per atom. As for the calculated volume: 15.454 Å³ per atom.

It has space group P4/mmm (No. 123), with a = 4.752 Å, b = 4.752 Å, c = 2.738 Å, α = 90.00°, β = 90.00° and γ = 90.00°. Symmetry generates all atoms from Re at (0.000, 0.000, 0.000), Ir at (0.000, 0.500, 0.500) and Br at (0.500, 0.500, 0.000).


Record 29
Below is a crystal of YReIr2Br relaxed with PBEsol, with properties calculated at the SCAN level.

Its uncorrected formation energy is 0.61 eV per atom. As for the calculated volume: 22.097 Å³ per atom.

It has space group P4/mmm (No. 123), with a = 4.733 Å, b = 4.733 Å, c = 4.932 Å, α = 90.00°, β = 90.00° and γ = 90.00°. Symmetry generates all atoms from Y at (0.000, 0.000, 0.000), Re at (0.500, 0.500, 0.500), Ir at (0.000, 0.500, 0.500) and Br at (0.500, 0.500, 0.000).


Record 30
Below is a crystal of IrRhBr2 relaxed with PBEsol, with properties calculated at the SCAN level.

Its uncorrected formation energy is 0.73 eV per atom. As for the calculated volume: 20.441 Å³ per atom.

It has space group Imm2 (No. 44), with a = 3.330 Å, b = 3.467 Å, c = 14.164 Å, α = 90.00°, β = 90.00° and γ = 90.00°. Symmetry generates all atoms from Ir at (0.000, 0.000, 0.000), Rh at (0.000, 0.500, 0.359), Br at (0.000, 0.000, 0.561) and Br at (0.000, 0.500, 0.794).


Short version: ρ = 9.93, 6.98, 8.63, 8.57, 9.28, 16.93, 18.17, 16.53, 18.03, 6.67, 12.74, 8.76, 9.20, 13.41, 13.83, 11.45, 9.91, 7.01, 8.34, 12.76, 12.35, 11.65, 12.82, 12.14, 8.52, 15.76, 16.55, 17.48, 11.11, 9.24 g/cm³, in the order given.
Short version: magnetization = 0.025, 0.322, 0.274, 0.574, 0.000, 0.000, 0.000, 0.000, 0.000, 0.126, 0.000, 0.000, 0.000, 0.000, 0.238, 0.000, 0.000, 0.695, 0.640, 0.000, 0.177, 0.001, 0.000, 0.175, 0.048, 0.185, 0.000, 0.000, 0.000, 0.000 μB/atom, in the order given.